1.
! Ho4OsCl5 PBE relaxed; values from VASP
&SYSTEM
  ibrav = 0, nat = 10, ntyp = 3
/
ATOMIC_SPECIES
Ho 164.93 Ho.upf
Os 190.23 Os.upf
Cl 35.45 Cl.upf
ATOMIC_POSITIONS angstrom
Ho -5.085 2.940 6.935
Ho -7.784 4.378 4.868
Ho -3.136 0.991 -0.273
Ho -0.437 -0.447 1.793
Os -1.482 -1.077 -0.630
Cl -6.008 2.175 4.456
Cl -5.006 3.336 0.115
Cl -3.216 0.594 6.547
Cl -2.234 -2.343 3.303
Cl -2.214 1.755 2.205
CELL_PARAMETERS angstrom
-2.963 -2.154 -1.260
-1.504 -2.531 7.866
-3.754 8.616 0.056
! - symmetry = C2/m
! - E_form (uncorrected) (eV per atom) = -1.5438
! - size of the total moment (μB/cell) = 0.50
! - theoretical density (Mg/m³) = 5.8
! - VASP energy (eV/cell) = -54.21
! - crystal system = monoclinic

2.
! CdIn2P2 PBE relaxed; values from VASP
&SYSTEM
  ibrav = 0, nat = 5, ntyp = 3
/
ATOMIC_SPECIES
P 30.97 P.upf
Cd 112.41 Cd.upf
In 114.82 In.upf
ATOMIC_POSITIONS angstrom
P -0.544 4.456 3.973
P -0.453 1.555 5.772
Cd 0.000 0.000 0.000
In -0.621 1.902 3.099
In -0.376 4.109 6.646
CELL_PARAMETERS angstrom
-1.898 4.386 0.688
-1.716 -1.415 4.285
2.616 3.040 4.771
! - symmetry = I4/mmm
! - size of the total moment (μB/cell) = 0.00
! - relative energy among the computed polymorphs (eV/f.u.) = 0.47
! - formation energy (eV per atom) = 0.29
! - theoretical density (Mg/m³) = 5.5
! - VASP energy (eV/cell) = -15.77
! - crystal system = tetragonal

3.
! Ce2ThHg7 PBE relaxed; values from VASP
&SYSTEM
  ibrav = 0, nat = 10, ntyp = 3
/
ATOMIC_SPECIES
Ce 140.12 Ce.upf
Th 232.04 Th.upf
Hg 200.59 Hg.upf
ATOMIC_POSITIONS angstrom
Ce 0.000 2.965 8.905
Ce 2.568 1.483 4.515
Th 0.000 0.000 0.133
Hg 2.568 1.483 7.621
Hg 2.568 1.483 10.923
Hg 0.000 0.000 9.705
Hg 0.000 0.000 3.330
Hg 0.000 2.965 5.691
Hg 0.000 2.965 12.148
Hg 2.568 1.483 1.429
CELL_PARAMETERS angstrom
5.136 0.000 0.000
-2.568 4.448 0.000
0.000 0.000 12.837
! - symmetry = P3m1
! - size of the total moment (μB/cell) = 2.19
! - formation energy (eV per atom) = -0.12
! - theoretical density (Mg/m³) = 10.9
! - VASP energy (eV/cell) = -22.63
! - crystal system = trigonal

4.
! YAlZnGa2 PBE relaxed; values from VASP
&SYSTEM
  ibrav = 0, nat = 5, ntyp = 4
/
ATOMIC_SPECIES
Y 88.91 Y.upf
Al 26.98 Al.upf
Zn 65.41 Zn.upf
Ga 69.72 Ga.upf
ATOMIC_POSITIONS angstrom
Y 0.000 0.000 0.000
Al 1.334 -2.201 2.314
Zn 1.869 -2.875 -0.466
Ga -0.450 -3.055 0.655
Ga 3.653 -2.021 1.193
CELL_PARAMETERS angstrom
-2.014 -1.811 3.098
-0.944 -3.160 -2.461
6.161 -0.104 1.211
! - symmetry = I-4m2
! - size of the total moment (μB/cell) = 0.00
! - formation energy (eV per atom) = -0.41
! - theoretical density (Mg/m³) = 5.7
! - VASP energy (eV/cell) = -19.60
! - crystal system = tetragonal

5.
! K4Rb2Br PBE relaxed; values from VASP
&SYSTEM
  ibrav = 0, nat = 7, ntyp = 3
/
ATOMIC_SPECIES
K 39.10 K.upf
Br 79.90 Br.upf
Rb 85.47 Rb.upf
ATOMIC_POSITIONS angstrom
K -4.377 -7.280 4.928
K -0.884 -2.970 9.480
K 0.650 -3.194 0.184
K -3.143 -0.603 0.642
Br 0.000 0.000 0.000
Rb -3.549 -6.855 9.377
Rb -1.711 -3.395 5.030
CELL_PARAMETERS angstrom
-6.286 -1.206 1.284
1.300 -6.387 0.368
-0.274 -2.657 12.754
! - symmetry = I4/mmm
! - E_form (uncorrected) (eV per atom) = -0.4106
! - size of the total moment (μB/cell) = 0.00
! - theoretical density (Mg/m³) = 1.3
! - VASP energy (eV/cell) = -10.87
! - crystal system = tetragonal

6.
! PuTlBi PBE relaxed; values from VASP
&SYSTEM
  ibrav = 0, nat = 3, ntyp = 3
/
ATOMIC_SPECIES
Tl 204.38 Tl.upf
Bi 208.98 Bi.upf
Pu 244.00 Pu.upf
ATOMIC_POSITIONS angstrom
Tl 0.000 0.000 4.809
Bi 0.000 0.000 0.101
Pu 1.738 1.738 2.436
CELL_PARAMETERS angstrom
3.476 0.000 0.000
0.000 3.476 0.000
-1.738 -1.738 7.346
! - symmetry = I4mm
! - size of the total moment (μB/cell) = 6.19
! - relative energy among the computed polymorphs (eV/f.u.) = 0.13
! - formation energy (eV per atom) = -0.04
! - theoretical density (Mg/m³) = 12.3
! - VASP energy (eV/cell) = -20.69
! - crystal system = tetragonal